[1]
Density functional theory data (PBE-GGA) for a geometry-optimized Tb8SmIr6 structure.

Geometry as CIF:
```
data_Tb8SmIr6
_symmetry_space_group_name_H-M 'R -3'
_symmetry_Int_Tables_number 148
_symmetry_space_group_name_Hall '-R 3'
_cell_length_a 8.3380
_cell_length_b 8.3380
_cell_length_c 18.0759
_cell_angle_alpha 90.00
_cell_angle_beta 90.00
_cell_angle_gamma 120.00
loop_
_atom_site_label
_atom_site_fract_x
_atom_site_fract_y
_atom_site_fract_z
_atom_site_occupancy
Tb1 0.0000 0.0000 0.1661 1
Tb2 0.0012 0.6651 0.3879 1
Sm1 0.0000 0.0000 0.5000 1
Ir1 0.9997 0.3346 0.4427 1
```

## Properties
E_tot, eV/atom: -7.08
Theoretical density, g/cm3: 11.79
Total magnetization, μB per cell: 0.00
Energy of formation from the pure elements, eV/atom: -0.75


[2]
Density functional theory data (PBE-GGA) for a geometry-optimized Tb3SmIr2 structure.

Geometry as CIF:
```
data_Tb3SmIr2
_symmetry_space_group_name_H-M 'I b a m'
_symmetry_Int_Tables_number 72
_symmetry_space_group_name_Hall '-I 2 2c'
_cell_length_a 6.8468
_cell_length_b 13.7059
_cell_length_c 7.0664
_cell_angle_alpha 90.00
_cell_angle_beta 90.00
_cell_angle_gamma 90.00
loop_
_atom_site_label
_atom_site_fract_x
_atom_site_fract_y
_atom_site_fract_z
_atom_site_occupancy
Tb1 0.0000 0.0000 0.2500 1
Tb2 0.0000 0.2630 0.2500 1
Sm1 0.0000 0.5000 0.0000 1
Ir1 0.2121 0.1384 0.0000 1
```

## Properties
E_tot, eV/atom: -6.66
Theoretical density, g/cm3: 10.13
Total magnetization, μB per cell: 0.00
Energy of formation from the pure elements, eV/atom: -0.60